# 1
Material: RbSrPmCl6
Method: DFT, PBE
State: optimized geometry

Its space group is P-31c, No. 163.

a = 7.4943 Å, b = 7.4943 Å, c = 13.8701 Å
α = 90.00°, β = 90.00°, γ = 120.00°
Last column: nearest neighbours and their distance in Å.
Sites, in units of the cell vectors:
1 Rb 0.0000 0.0000 0.0000  6 Cl 3.38
2 Rb 0.0000 0.0000 0.5000  6 Cl 3.38
3 Sr 0.3333 0.6667 0.2500  6 Cl 2.92
4 Sr 0.6667 0.3333 0.7500  6 Cl 2.92
5 Pm 0.3333 0.6667 0.7500  6 Cl 2.74
6 Pm 0.6667 0.3333 0.2500  6 Cl 2.74
7 Cl 0.0178 0.3798 0.6389  1 Pm 2.74, 1 Sr 2.92
8 Cl 0.0178 0.6380 0.8611  1 Pm 2.74, 1 Sr 2.92
9 Cl 0.3620 0.3798 0.8611  1 Pm 2.74, 1 Sr 2.92
10 Cl 0.3620 0.9822 0.6389  1 Pm 2.74, 1 Sr 2.92
11 Cl 0.3798 0.0178 0.1389  1 Pm 2.74, 1 Sr 2.92
12 Cl 0.3798 0.3620 0.3611  1 Pm 2.74, 1 Sr 2.92
13 Cl 0.6202 0.6380 0.6389  1 Pm 2.74, 1 Sr 2.92
14 Cl 0.6202 0.9822 0.8611  1 Pm 2.74, 1 Sr 2.92
15 Cl 0.6380 0.0178 0.3611  1 Pm 2.74, 1 Sr 2.92
16 Cl 0.6380 0.6202 0.1389  1 Pm 2.74, 1 Sr 2.92
17 Cl 0.9822 0.3620 0.1389  1 Pm 2.74, 1 Sr 2.92
18 Cl 0.9822 0.6202 0.3611  1 Pm 2.74, 1 Sr 2.92

---

# 2
Material: RbPmTeCl2
Method: DFT, PBE
State: optimized geometry

Its space group is Cmcm, No. 63.

a = 9.2231 Å, b = 9.2231 Å, c = 8.9214 Å
α = 90.00°, β = 90.00°, γ = 151.43°
Last column: nearest neighbours and their distance in Å.
Sites, in units of the cell vectors:
1 Rb 0.2158 0.7842 0.7500  6 Cl 3.32-3.34
2 Rb 0.7842 0.2158 0.2500  6 Cl 3.32-3.34
3 Pm 0.5000 0.5000 0.0000  2 Cl 2.70
4 Pm 0.5000 0.5000 0.5000  2 Cl 2.70
5 Te 0.0062 0.9938 0.2500  4 Pm 3.19
6 Te 0.9938 0.0062 0.7500  4 Pm 3.19
7 Cl 0.3489 0.6511 0.0128  1 Pm 2.70
8 Cl 0.3489 0.6511 0.4872  1 Pm 2.70
9 Cl 0.6511 0.3489 0.5128  1 Pm 2.70
10 Cl 0.6511 0.3489 0.9872  1 Pm 2.70

---

# 3
Material: Pm4ReCl5
Method: DFT, PBE
State: optimized geometry

Its space group is C2/m, No. 12.

a = 9.2856 Å, b = 9.2856 Å, c = 9.1896 Å
α = 106.53°, β = 106.53°, γ = 24.11°
Last column: nearest neighbours and their distance in Å.
Sites, in units of the cell vectors:
1 Pm 0.0041 0.0041 0.2455  4 Cl 2.87-3.06, 2 Re 2.96
2 Pm 0.3500 0.3500 0.9142  1 Re 2.61, 4 Cl 2.85-2.90
3 Pm 0.6500 0.6500 0.0858  1 Re 2.61, 4 Cl 2.85-2.90
4 Pm 0.9959 0.9959 0.7545  4 Cl 2.87-3.06, 2 Re 2.96
5 Re 0.5000 0.5000 0.0000  2 Pm 2.61
6 Cl 0.1684 0.1684 0.8639  4 Pm 2.90-3.19
7 Cl 0.1692 0.1692 0.3211  3 Pm 2.85-2.87
8 Cl 0.5000 0.5000 0.5000  4 Pm 3.06
9 Cl 0.8308 0.8308 0.6789  3 Pm 2.85-2.87
10 Cl 0.8316 0.8316 0.1361  4 Pm 2.90-3.19

---

# 4
Material: PmReCl
Method: DFT, PBE
State: optimized geometry

Its space group is C2/m, No. 12.

a = 4.1462 Å, b = 4.1462 Å, c = 11.3369 Å
α = 91.63°, β = 91.63°, γ = 60.02°
Last column: nearest neighbours and their distance in Å.
Sites, in units of the cell vectors:
1 Pm 0.0103 0.0103 0.1980  3 Cl 2.92, 3 Re 3.14
2 Pm 0.9897 0.9897 0.8020  3 Cl 2.92, 3 Re 3.14
3 Re 0.3343 0.3343 0.0189  3 Re 2.43
4 Re 0.6657 0.6657 0.9811  3 Re 2.43
5 Cl 0.3154 0.3154 0.6544  3 Pm 2.92
6 Cl 0.6846 0.6846 0.3456  3 Pm 2.92

---

# 5
Material: Pm3Rh2Cl
Method: DFT, PBE
State: optimized geometry

Its space group is Cmcm, No. 63.

a = 8.0139 Å, b = 8.0139 Å, c = 9.7667 Å
α = 90.00°, β = 90.00°, γ = 150.51°
Last column: nearest neighbours and their distance in Å.
Sites, in units of the cell vectors:
1 Pm 0.1174 0.8826 0.5583  3 Rh 2.78-2.79
2 Pm 0.1174 0.8826 0.9417  3 Rh 2.78-2.79
3 Pm 0.3714 0.6286 0.7500  2 Rh 2.69
4 Pm 0.6286 0.3714 0.2500  2 Rh 2.69
5 Pm 0.8826 0.1174 0.0583  3 Rh 2.78-2.79
6 Pm 0.8826 0.1174 0.4417  3 Rh 2.78-2.79
7 Rh 0.0153 0.9847 0.2500  4 Pm 2.69-2.78
8 Rh 0.5000 0.5000 0.0000  4 Pm 2.79
9 Rh 0.5000 0.5000 0.5000  4 Pm 2.79
10 Rh 0.9847 0.0153 0.7500  4 Pm 2.69-2.78
11 Cl 0.2813 0.7187 0.2500  6 Pm 3.12-3.18
12 Cl 0.7187 0.2813 0.7500  6 Pm 3.12-3.18

---

# 6
Material: Pm2RhCl2
Method: DFT, PBE
State: optimized geometry

Its space group is C2/m, No. 12.

a = 4.0220 Å, b = 4.0220 Å, c = 11.1064 Å
α = 101.45°, β = 101.45°, γ = 60.01°
Last column: nearest neighbours and their distance in Å.
Sites, in units of the cell vectors:
1 Pm 0.2232 0.2232 0.1551  3 Rh 2.86-2.87, 3 Cl 2.91
2 Pm 0.7768 0.7768 0.8449  3 Rh 2.86-2.87, 3 Cl 2.91
3 Rh 0.5000 0.5000 0.0000  6 Pm 2.86-2.87
4 Cl 0.0507 0.0507 0.6822  3 Pm 2.91
5 Cl 0.9493 0.9493 0.3178  3 Pm 2.91

---

| no. | formation energy without anion corrections (eV per atom) | uncorrected energy (eV per atom) |
| --- | --- | --- |
| 1 | -2.30 | -4.355 |
| 2 | -1.87 | -4.376 |
| 3 | -1.47 | -5.538 |
| 4 | -1.01 | -7.363 |
| 5 | -0.75 | -5.887 |
| 6 | -1.48 | -5.585 |